# GdTm2Pt

An optimized crystal structure of GdTm2Pt (PBE-GGA, the Alexandria database).

abc: 3.8662 3.8662 9.4590
angles: 78.21 78.21 60.00
Last column: magnetic moment on the atom in μB.
Element x y z (fractional)
Gd1 0.5000 0.5000 0.5000  7.36
Tm1 0.2739 0.2739 0.1782  0.10
Tm2 0.7261 0.7261 0.8218  0.10
Pt1 0.0000 0.0000 0.0000  0.02

Properties
Space-group type: R-3m
DFT total energy: -7.7950 eV/atom
Energy relative to the elements: -51 kJ per mole of atoms
Energy above the lowest structure with this stoichiometry: 105 meV/atom
N(E_F): 1.60 states/eV per atom